--- A ---
BaSbOsI2 (GGA-PBE, optimized geometry); crystal system = tetragonal; density of states at the Fermi level = 7.43 states/eV per cell; space-group type = No. 123
1.0
-3.855 2.284 -4.987
-5.474 -1.203 3.680
0.376 6.487 2.680
I Sb Os Ba
2 1 1 1
Direct
0.000 0.500 0.000 I
0.500 0.000 0.000 I
0.000 0.000 0.500 Sb
0.500 0.500 0.500 Os
0.000 0.000 0.000 Ba

---

--- B ---
BaSbOsI2 (GGA-PBE, optimized geometry); crystal system = tetragonal; density of states at the Fermi level = 2.04 states/eV per cell; space-group type = No. 123
1.0
5.766 0.000 0.000
0.000 5.766 0.000
0.000 0.000 5.039
I Ba Os Sb
2 1 1 1
Direct
0.000 0.500 0.000 I
0.500 0.000 0.000 I
0.500 0.500 0.500 Ba
0.000 0.000 0.000 Os
0.000 0.000 0.500 Sb

---

Energy ordering: B at the bottom, the next structure 1354 meV/atom above.